DFT (PBE) results for a geometry-optimized Ta3CdRu structure.

Unit cell a=4.876 b=4.876 c=4.876 alpha=90.00 beta=90.00 gamma=90.00
Space group Pm-3m (No. 221)
Symmetry-distinct sites (fractional):
Ta (0.000, 0.000, 0.500)
Cd (0.000, 0.000, 0.000)
Ru (0.500, 0.500, 0.500)

## Properties
E above lowest polymorph (meV/atom): 1538
Calculated total energy (eV for the cell shown): -33.0
M_tot (μB per cell): 0.0
Energy of formation (eV/atom): 2.54